Material: YPb3F8
Method: DFT, GGA-PBE
State: optimized geometry

Geometry as POSCAR:
```
YPb3F8
1.0
5.9294 0.0000 0.0000
0.0000 5.9294 0.0000
0.0000 0.0000 5.9294
Y Pb F
1 3 8
Direct
0.0000 0.0000 0.0000
0.0000 0.5000 0.5000
0.5000 0.0000 0.5000
0.5000 0.5000 0.0000
0.2248 0.2248 0.2248
0.2248 0.2248 0.7752
0.2248 0.7752 0.2248
0.2248 0.7752 0.7752
0.7752 0.2248 0.2248
0.7752 0.2248 0.7752
0.7752 0.7752 0.2248
0.7752 0.7752 0.7752
```

Summary:
Total magnetic moment (μB/f.u.): 0.00
Calculated density (g/cm³): 6.87
Total energy (eV per atom): -5.461
Formation energy (no corrections) (eV/atom): -2.748